DFT (PBE) results for a relaxed structure of BaLi2AcIn2.

abc: 5.2203 5.2203 8.2593
angles: 90.00 90.00 120.00
Space group P-3m1 (No. 164)
Unique sites:
Ba: 0.0000 0.0000 0.0000
Li: 0.3333 0.6667 0.2968
Ac: 0.0000 0.0000 0.5000
In: 0.3333 0.6667 0.7050

The electronic total energy is -17.033 eV for the cell shown. For the formation enthalpy at 0 K, the calculation gives -283 meV/atom. Its crystal system is trigonal.